(1)
{
  "formula": "Sn3SeCl",
  "functional": "PBE",
  "state": "relaxed",
  "total_magnetization_mub_per_cell": 0.00,
  "sg": "Pm-3m (221)",
  "lattice": [[5.445, 0.000, 0.000], [0.000, 5.445, 0.000], [0.000, 0.000, 5.445]],
  "species": ["Sn", "Sn", "Sn", "Se", "Cl"],
  "frac_coords": [[0.000, 0.000, 0.500], [0.000, 0.500, 0.000], [0.500, 0.000, 0.000], [0.500, 0.500, 0.500], [0.000, 0.000, 0.000]]
}


(2)
{
  "formula": "Sn3SeCl",
  "functional": "PBE",
  "state": "relaxed",
  "total_magnetization_mub_per_cell": 0.00,
  "sg": "Pm-3m (221)",
  "lattice": [[5.655, 0.000, 0.000], [0.000, 5.655, 0.000], [0.000, 0.000, 5.655]],
  "species": ["Sn", "Sn", "Sn", "Se", "Cl"],
  "frac_coords": [[0.000, 0.000, 0.500], [0.000, 0.500, 0.000], [0.500, 0.000, 0.000], [0.000, 0.000, 0.000], [0.500, 0.500, 0.500]]
}


Ranked by calculated energy, most stable first: (2), (1).


(1)
{
  "formula": "Sn2Se2Cl",
  "functional": "PBE",
  "state": "relaxed",
  "total_magnetization_mub_per_cell": 0.00,
  "sg": "I4/mmm (139)",
  "lattice": [[-2.280, 2.280, 6.975], [2.280, -2.280, 6.975], [2.280, 2.280, -6.975]],
  "species": ["Sn", "Sn", "Se", "Se", "Cl"],
  "frac_coords": [[0.122, 0.122, 0.000], [0.878, 0.878, 0.000], [0.250, 0.750, 0.500], [0.750, 0.250, 0.500], [0.500, 0.500, 0.000]]
}


(2)
{
  "formula": "Sn2Se2Cl",
  "functional": "PBE",
  "state": "relaxed",
  "total_magnetization_mub_per_cell": 0.00,
  "sg": "P4/mbm (127)",
  "lattice": [[8.070, 0.000, 0.000], [0.000, 8.070, 0.000], [0.000, 0.000, 3.873]],
  "species": ["Sn", "Sn", "Sn", "Sn", "Se", "Se", "Se", "Se", "Cl", "Cl"],
  "frac_coords": [[0.182, 0.318, 0.000], [0.318, 0.818, 0.000], [0.682, 0.182, 0.000], [0.818, 0.682, 0.000], [0.138, 0.638, 0.500], [0.362, 0.138, 0.500], [0.638, 0.862, 0.500], [0.862, 0.362, 0.500], [0.000, 0.000, 0.000], [0.500, 0.500, 0.000]]
}


Ranked by calculated energy, most stable first: (2), (1).


(1)
{
  "formula": "Sn2Se2Cl",
  "functional": "PBE",
  "state": "relaxed",
  "total_magnetization_mub_per_cell": 0.00,
  "sg": "Immm (71)",
  "lattice": [[-2.073, 2.850, 6.120], [2.073, -2.850, 6.120], [2.073, 2.850, -6.120]],
  "species": ["Sn", "Sn", "Se", "Se", "Cl"],
  "frac_coords": [[0.181, 0.181, 0.000], [0.819, 0.819, 0.000], [0.341, 0.841, 0.500], [0.659, 0.159, 0.500], [0.000, 0.500, 0.500]]
}


(2)
{
  "formula": "Sn2Se2Cl",
  "functional": "PBE",
  "state": "relaxed",
  "total_magnetization_mub_per_cell": 0.00,
  "sg": "P2_1/m (11)",
  "lattice": [[5.781, 0.000, 0.000], [0.000, 4.118, 0.000], [-0.045, 0.000, 12.307]],
  "species": ["Sn", "Sn", "Sn", "Sn", "Se", "Se", "Se", "Se", "Cl", "Cl"],
  "frac_coords": [[0.247, 0.250, 0.229], [0.251, 0.250, 0.600], [0.749, 0.750, 0.400], [0.753, 0.750, 0.771], [0.249, 0.750, 0.412], [0.252, 0.750, 0.758], [0.748, 0.250, 0.242], [0.751, 0.250, 0.588], [0.247, 0.750, 0.087], [0.753, 0.250, 0.913]]
}


Ranked by calculated energy, most stable first: (2), (1).


(1)
{
  "formula": "TaSe2Cl",
  "functional": "PBE",
  "state": "relaxed",
  "total_magnetization_mub_per_cell": 0.00,
  "sg": "R-3m (166)",
  "lattice": [[1.455, 0.840, 12.309], [-1.455, 0.840, 12.309], [0.000, -1.680, 12.309]],
  "species": ["Ta", "Se", "Se", "Cl"],
  "frac_coords": [[0.000, 0.000, 0.000], [0.072, 0.072, 0.072], [0.928, 0.928, 0.928], [0.500, 0.500, 0.500]]
}


(2)
{
  "formula": "TaSe2Cl",
  "functional": "PBE",
  "state": "relaxed",
  "total_magnetization_mub_per_cell": 0.00,
  "sg": "P4mm (99)",
  "lattice": [[3.491, 0.000, 0.000], [0.000, 3.491, 0.000], [0.000, 0.000, 7.978]],
  "species": ["Ta", "Se", "Se", "Cl"],
  "frac_coords": [[0.000, 0.000, 0.000], [0.000, 0.000, 0.684], [0.500, 0.500, 0.852], [0.500, 0.500, 0.225]]
}


Ranked by calculated energy, most stable first: (2), (1).


(1)
{
  "formula": "TaSe2Cl",
  "functional": "PBE",
  "state": "relaxed",
  "total_magnetization_mub_per_cell": 0.00,
  "sg": "P2/m (10)",
  "lattice": [[4.505, 0.000, 0.000], [0.000, 3.111, 0.000], [-1.828, 0.000, 5.364]],
  "species": ["Ta", "Se", "Se", "Cl"],
  "frac_coords": [[0.000, 0.000, 0.000], [0.000, 0.500, 0.500], [0.500, 0.000, 0.500], [0.500, 0.500, 0.000]]
}


(2)
{
  "formula": "TaSe2Cl",
  "functional": "PBE",
  "state": "relaxed",
  "total_magnetization_mub_per_cell": 0.00,
  "sg": "P4/mmm (123)",
  "lattice": [[3.279, 0.000, 0.000], [0.000, 3.279, 0.000], [0.000, 0.000, 7.369]],
  "species": ["Ta", "Se", "Se", "Cl"],
  "frac_coords": [[0.000, 0.000, 0.000], [0.500, 0.500, 0.203], [0.500, 0.500, 0.797], [0.000, 0.000, 0.500]]
}


(3)
{
  "formula": "TaSe2Cl",
  "functional": "PBE",
  "state": "relaxed",
  "total_magnetization_mub_per_cell": 0.00,
  "sg": "Immm (71)",
  "lattice": [[-1.563, 2.603, 6.799], [1.563, -2.603, 6.799], [1.563, 2.603, -6.799]],
  "species": ["Ta", "Se", "Se", "Cl"],
  "frac_coords": [[0.000, 0.000, 0.000], [0.148, 0.648, 0.500], [0.852, 0.352, 0.500], [0.500, 0.500, 0.000]]
}


Ranked by calculated energy, most stable first: (3), (2), (1).


(1)
{
  "formula": "TaSe2Cl",
  "functional": "PBE",
  "state": "relaxed",
  "total_magnetization_mub_per_cell": 0.00,
  "sg": "I-42d (122)",
  "lattice": [[-3.431, 3.431, 5.062], [3.431, -3.431, 5.062], [3.431, 3.431, -5.062]],
  "species": ["Ta", "Ta", "Se", "Se", "Se", "Se", "Cl", "Cl"],
  "frac_coords": [[0.000, 0.000, 0.000], [0.750, 0.250, 0.500], [0.048, 0.625, 0.923], [0.375, 0.298, 0.423], [0.702, 0.125, 0.077], [0.875, 0.952, 0.577], [0.250, 0.750, 0.500], [0.500, 0.500, 0.000]]
}


(2)
{
  "formula": "TaSe2Cl",
  "functional": "PBE",
  "state": "relaxed",
  "total_magnetization_mub_per_cell": 0.00,
  "sg": "Cmmm (65)",
  "lattice": [[2.498, -7.152, 0.000], [2.498, 7.152, 0.000], [0.000, 0.000, 3.326]],
  "species": ["Ta", "Se", "Se", "Cl"],
  "frac_coords": [[0.000, 0.000, 0.000], [0.134, 0.866, 0.500], [0.866, 0.134, 0.500], [0.500, 0.500, 0.000]]
}


(3)
{
  "formula": "TaSe2Cl",
  "functional": "PBE",
  "state": "relaxed",
  "total_magnetization_mub_per_cell": 0.00,
  "sg": "P4/mmm (123)",
  "lattice": [[4.839, 0.000, 0.000], [0.000, 4.839, 0.000], [0.000, 0.000, 3.198]],
  "species": ["Ta", "Se", "Se", "Cl"],
  "frac_coords": [[0.000, 0.000, 0.000], [0.000, 0.500, 0.500], [0.500, 0.000, 0.500], [0.500, 0.500, 0.000]]
}


Ranked by calculated energy, most stable first: (2), (1), (3).


(1)
{
  "formula": "TaSe2Cl",
  "functional": "PBE",
  "state": "relaxed",
  "total_magnetization_mub_per_cell": 0.00,
  "sg": "Fm-3m (225)",
  "lattice": [[0.000, 3.333, 3.333], [3.333, 0.000, 3.333], [3.333, 3.333, 0.000]],
  "species": ["Ta", "Se", "Se", "Cl"],
  "frac_coords": [[0.000, 0.000, 0.000], [0.250, 0.250, 0.250], [0.750, 0.750, 0.750], [0.500, 0.500, 0.500]]
}


(2)
{
  "formula": "TaSe2Cl",
  "functional": "PBE",
  "state": "relaxed",
  "total_magnetization_mub_per_cell": 0.00,
  "sg": "Pnna (52)",
  "lattice": [[6.438, 0.000, 0.000], [0.000, 5.973, 0.000], [0.000, 0.000, 10.629]],
  "species": ["Ta", "Ta", "Ta", "Ta", "Se", "Se", "Se", "Se", "Se", "Se", "Se", "Se", "Cl", "Cl", "Cl", "Cl"],
  "frac_coords": [[0.250, 0.000, 0.066], [0.250, 0.500, 0.434], [0.750, 0.000, 0.934], [0.750, 0.500, 0.566], [0.072, 0.247, 0.913], [0.072, 0.253, 0.587], [0.428, 0.747, 0.587], [0.428, 0.753, 0.913], [0.572, 0.247, 0.087], [0.572, 0.253, 0.413], [0.928, 0.747, 0.413], [0.928, 0.753, 0.087], [0.114, 0.250, 0.250], [0.386, 0.750, 0.250], [0.614, 0.250, 0.750], [0.886, 0.750, 0.750]]
}


Ranked by calculated energy, most stable first: (2), (1).


(1)
{
  "formula": "TaSe2Cl",
  "functional": "PBE",
  "state": "relaxed",
  "total_magnetization_mub_per_cell": 0.29,
  "sg": "R-3m (166)",
  "lattice": [[1.731, 0.999, 8.349], [-1.731, 0.999, 8.349], [0.000, -1.998, 8.349]],
  "species": ["Ta", "Se", "Se", "Cl"],
  "frac_coords": [[0.000, 0.000, 0.000], [0.266, 0.266, 0.266], [0.734, 0.734, 0.734], [0.500, 0.500, 0.500]]
}


(2)
{
  "formula": "TaSe2Cl",
  "functional": "PBE",
  "state": "relaxed",
  "total_magnetization_mub_per_cell": 0.00,
  "sg": "C2/m (12)",
  "lattice": [[2.502, -4.456, 0.000], [2.502, 4.456, 0.000], [-0.006, 0.000, 3.469]],
  "species": ["Ta", "Se", "Se", "Cl"],
  "frac_coords": [[0.000, 0.000, 0.000], [0.000, 0.500, 0.500], [0.500, 0.000, 0.500], [0.500, 0.500, 0.000]]
}


(3)
{
  "formula": "TaSe2Cl",
  "functional": "PBE",
  "state": "relaxed",
  "total_magnetization_mub_per_cell": 0.00,
  "sg": "Cm (8)",
  "lattice": [[6.677, -1.561, 0.000], [6.677, 1.561, 0.000], [-3.738, 0.000, 6.167]],
  "species": ["Ta", "Se", "Se", "Cl"],
  "frac_coords": [[0.000, 0.000, 0.000], [0.352, 0.352, 0.705], [0.504, 0.504, 0.284], [0.648, 0.648, 0.012]]
}


Ranked by calculated energy, most stable first: (3), (1), (2).